a:
A plane-wave DFT calculation with PBE was carried out for an optimized crystal structure of LaPmYZn.

For the theoretical density, the calculation gives 6.2 g cm⁻³. The calculation puts the size of the total moment at 0.00 Bohr magnetons per cell.

The structure belongs to space group P4mm (No. 99); the cell edges are 3.650, 3.650 and 8.859 Å and the angles 90.00°, 90.00° and 90.00°. Symmetry generates all atoms from La at (0.000, 0.000, 0.000), Pm at (0.500, 0.500, 0.698), Y at (0.500, 0.500, 0.297) and Zn at (0.000, 0.000, 0.488).

***

b:
A plane-wave DFT calculation with PBE was carried out for an optimized crystal structure of LaPmYZn.

For the theoretical density, the calculation gives 6.2 g cm⁻³. The calculation puts the size of the total moment at 0.15 Bohr magnetons per cell.

The structure belongs to space group F-43m (No. 216); the cell edges are 7.760, 7.760 and 7.760 Å and the angles 90.00°, 90.00° and 90.00°. Symmetry generates all atoms from La at (0.000, 0.000, 0.000), Pm at (0.250, 0.250, 0.750), Y at (0.000, 0.000, 0.500) and Zn at (0.250, 0.250, 0.250).

***

Stability, lowest: b

***

a:
A plane-wave DFT calculation with PBE was carried out for an optimized crystal structure of La2Pm3Zn2.

For the theoretical density, the calculation gives 6.7 g cm⁻³. The calculation puts the size of the total moment at 0.00 Bohr magnetons per cell.

The structure belongs to space group Cmmm (No. 65); the cell edges are 3.724, 30.295 and 3.683 Å and the angles 90.00°, 90.00° and 90.00°. Symmetry generates all atoms from La at (0.000, 0.204, 0.000), Pm at (0.000, 0.085, 0.000), Pm at (0.000, 0.500, 0.500) and Zn at (0.000, 0.360, 0.500).

***

b:
A plane-wave DFT calculation with PBE was carried out for an optimized crystal structure of La2Pm3Zn2.

For the theoretical density, the calculation gives 6.5 g cm⁻³. The calculation puts the size of the total moment at 0.00 Bohr magnetons per cell.

The structure belongs to space group C2/m (No. 12); the cell edges are 11.936, 4.836 and 8.271 Å and the angles 90.00°, 116.36° and 90.00°. Symmetry generates all atoms from La at (0.140, 0.000, 0.299), Pm at (0.000, 0.500, 0.500), Pm at (0.136, 0.500, 0.972) and Zn at (0.140, 0.000, 0.692).

***

Stability, lowest: b

***

a:
A plane-wave DFT calculation with PBE was carried out for an optimized crystal structure of La3Pm2Zn2.

For the theoretical density, the calculation gives 6.5 g cm⁻³. The calculation puts the size of the total moment at 0.04 Bohr magnetons per cell.

The structure belongs to space group Cmmm (No. 65); the cell edges are 3.758, 30.883 and 3.692 Å and the angles 90.00°, 90.00° and 90.00°. Symmetry generates all atoms from La at (0.000, 0.000, 0.000), La at (0.000, 0.413, 0.500), Pm at (0.000, 0.298, 0.500) and Zn at (0.000, 0.148, 0.000).

***

b:
A plane-wave DFT calculation with PBE was carried out for an optimized crystal structure of La3Pm2Zn2.

For the theoretical density, the calculation gives 6.4 g cm⁻³. The calculation puts the size of the total moment at 0.00 Bohr magnetons per cell.

The structure belongs to space group C2/m (No. 12); the cell edges are 12.967, 3.863 and 9.615 Å and the angles 90.00°, 115.78° and 90.00°. Symmetry generates all atoms from La at (0.000, 0.000, 0.000), La at (0.105, 0.000, 0.437), Pm at (0.159, 0.500, 0.823) and Zn at (0.177, 0.500, 0.232).

***

Stability, lowest: a

***

a:
A plane-wave DFT calculation with PBE was carried out for an optimized crystal structure of LaPm2Zn2.

For the theoretical density, the calculation gives 6.7 g cm⁻³. The calculation puts the size of the total moment at 0.00 Bohr magnetons per cell.

The structure belongs to space group P2_1/m (No. 11); the cell edges are 4.678, 4.488 and 13.490 Å and the angles 90.00°, 99.68° and 90.00°. Symmetry generates all atoms from La at (0.136, 0.250, 0.271), Pm at (0.237, 0.750, 0.473), Pm at (0.448, 0.250, 0.892), Zn at (0.022, 0.250, 0.045) and Zn at (0.329, 0.250, 0.662).

***

b:
A plane-wave DFT calculation with PBE was carried out for an optimized crystal structure of LaPm2Zn2.

For the theoretical density, the calculation gives 6.8 g cm⁻³. The calculation puts the size of the total moment at 0.00 Bohr magnetons per cell.

The structure belongs to space group P2_1/m (No. 11); the cell edges are 3.739, 5.354 and 13.778 Å and the angles 90.00°, 97.81° and 90.00°. Symmetry generates all atoms from La at (0.142, 0.250, 0.284), Pm at (0.047, 0.750, 0.094), Pm at (0.232, 0.750, 0.464), Zn at (0.359, 0.250, 0.720) and Zn at (0.454, 0.750, 0.908).

***

Stability, lowest: a

***

a:
A plane-wave DFT calculation with PBE was carried out for an optimized crystal structure of LaPm2Zn.

For the theoretical density, the calculation gives 6.8 g cm⁻³. The calculation puts the size of the total moment at 0.00 Bohr magnetons per cell.

The structure belongs to space group P4/mmm (No. 123); the cell edges are 3.690, 3.690 and 8.826 Å and the angles 90.00°, 90.00° and 90.00°. Symmetry generates all atoms from La at (0.000, 0.000, 0.000), Pm at (0.500, 0.500, 0.297) and Zn at (0.000, 0.000, 0.500).

***

b:
A plane-wave DFT calculation with PBE was carried out for an optimized crystal structure of LaPm2Zn.

For the theoretical density, the calculation gives 7.0 g cm⁻³. The calculation puts the size of the total moment at 0.00 Bohr magnetons per cell.

The structure belongs to space group P4/mmm (No. 123); the cell edges are 4.874, 4.874 and 4.925 Å and the angles 90.00°, 90.00° and 90.00°. Symmetry generates all atoms from La at (0.000, 0.000, 0.000), Pm at (0.000, 0.500, 0.500) and Zn at (0.500, 0.500, 0.000).

***

c:
A plane-wave DFT calculation with PBE was carried out for an optimized crystal structure of LaPm2Zn.

For the theoretical density, the calculation gives 6.5 g cm⁻³. The calculation puts the size of the total moment at 0.00 Bohr magnetons per cell.

The structure belongs to space group R-3m (No. 166, hexagonal axes); the cell edges are 3.5368, 3.5368 and 34.8465 Å and the angles 90.00°, 90.00° and 120.00°. Symmetry generates all atoms from La at (0.0000, 0.0000, 0.0000), Pm at (0.0000, 0.0000, 0.1010) and Zn at (0.0000, 0.0000, 0.5000).

***

Stability, lowest: c

***

a:
A plane-wave DFT calculation with PBE was carried out for an optimized crystal structure of La6Pm2Zn.

For the theoretical density, the calculation gives 6.4 g cm⁻³. The calculation puts the size of the total moment at 0.00 Bohr magnetons per cell.

The structure belongs to space group Amm2 (No. 38); the cell edges are 3.757, 16.895 and 9.760 Å and the angles 90.00°, 90.00° and 90.00°. Symmetry generates all atoms from La at (0.000, 0.000, 0.000), La at (0.000, 0.132, 0.603), La at (0.500, 0.000, 0.360), La at (0.500, 0.188, 0.923), Pm at (0.000, 0.167, 0.235) and Zn at (0.500, 0.000, 0.736).

***

b:
A plane-wave DFT calculation with PBE was carried out for an optimized crystal structure of La6Pm2Zn.

For the theoretical density, the calculation gives 6.4 g cm⁻³. The calculation puts the size of the total moment at 0.00 Bohr magnetons per cell.

The structure belongs to space group P4_2/mnm (No. 136); the cell edges are 10.567, 10.567 and 5.541 Å and the angles 90.00°, 90.00° and 90.00°. Symmetry generates all atoms from La at (0.042, 0.309, 0.000), La at (0.121, 0.879, 0.500), Pm at (0.220, 0.220, 0.500) and Zn at (0.000, 0.000, 0.000).

***

Stability, lowest: b

***

a:
A plane-wave DFT calculation with PBE was carried out for an optimized crystal structure of LaPm4Zn.

For the theoretical density, the calculation gives 6.9 g cm⁻³. The calculation puts the size of the total moment at 0.00 Bohr magnetons per cell.

The structure belongs to space group P4/mmm (No. 123); the cell edges are 3.681, 3.681 and 14.001 Å and the angles 90.00°, 90.00° and 90.00°. Symmetry generates all atoms from La at (0.000, 0.000, 0.000), Pm at (0.000, 0.000, 0.372), Pm at (0.500, 0.500, 0.186) and Zn at (0.500, 0.500, 0.500).

***

b:
A plane-wave DFT calculation with PBE was carried out for an optimized crystal structure of LaPm4Zn.

For the theoretical density, the calculation gives 6.7 g cm⁻³. The calculation puts the size of the total moment at 0.00 Bohr magnetons per cell.

The structure belongs to space group Cmc2_1 (No. 36); the cell edges are 5.553, 15.776 and 8.916 Å and the angles 90.00°, 90.00° and 90.00°. Symmetry generates all atoms from La at (0.000, 0.135, 0.000), Pm at (0.000, 0.093, 0.596), Pm at (0.000, 0.264, 0.325), Pm at (0.000, 0.340, 0.688), Pm at (0.000, 0.479, 0.361) and Zn at (0.000, 0.338, 0.021).

***

Stability, lowest: b

***

a:
A plane-wave DFT calculation with PBE was carried out for an optimized crystal structure of La8PmZn2.

For the theoretical density, the calculation gives 6.2 g cm⁻³. The calculation puts the size of the total moment at 0.00 Bohr magnetons per cell.

The structure belongs to space group C2/m (No. 12); the cell edges are 9.018, 14.758 and 5.882 Å and the angles 90.00°, 109.06° and 90.00°. Symmetry generates all atoms from La at (0.000, 0.236, 0.000), La at (0.100, 0.500, 0.805), La at (0.197, 0.115, 0.589), Pm at (0.000, 0.000, 0.000) and Zn at (0.000, 0.308, 0.500).

***

b:
A plane-wave DFT calculation with PBE was carried out for an optimized crystal structure of La8PmZn2.

For the theoretical density, the calculation gives 6.3 g cm⁻³. The calculation puts the size of the total moment at 0.00 Bohr magnetons per cell.

The structure belongs to space group C2/m (No. 12); the cell edges are 17.119, 5.455 and 8.551 Å and the angles 90.00°, 114.56° and 90.00°. Symmetry generates all atoms from La at (0.054, 0.000, 0.238), La at (0.112, 0.500, 0.975), La at (0.155, 0.000, 0.720), La at (0.191, 0.500, 0.467), Pm at (0.000, 0.500, 0.500) and Zn at (0.220, 0.000, 0.131).

***

Stability, lowest: a

***

a:
A plane-wave DFT calculation with PBE was carried out for an optimized crystal structure of La3PmZn2.

For the theoretical density, the calculation gives 6.4 g cm⁻³. The calculation puts the size of the total moment at 0.00 Bohr magnetons per cell.

The structure belongs to space group P4/mmm (No. 123); the cell edges are 3.765, 3.765 and 12.621 Å and the angles 90.00°, 90.00° and 90.00°. Symmetry generates all atoms from La at (0.000, 0.000, 0.000), La at (0.000, 0.000, 0.293), Pm at (0.500, 0.500, 0.500) and Zn at (0.500, 0.500, 0.150).

***

b:
A plane-wave DFT calculation with PBE was carried out for an optimized crystal structure of La3PmZn2.

For the theoretical density, the calculation gives 5.7 g cm⁻³. The calculation puts the size of the total moment at 0.01 Bohr magnetons per cell.

The structure belongs to space group Ibam (No. 72); the cell edges are 7.262, 15.047 and 7.347 Å and the angles 90.00°, 90.00° and 90.00°. Symmetry generates all atoms from La at (0.000, 0.000, 0.250), La at (0.000, 0.271, 0.250), Pm at (0.000, 0.500, 0.000) and Zn at (0.210, 0.136, 0.000).

***

Stability, lowest: b

***

a:
A plane-wave DFT calculation with PBE was carried out for an optimized crystal structure of La6PmZn.

For the theoretical density, the calculation gives 5.8 g cm⁻³. The calculation puts the size of the total moment at 0.00 Bohr magnetons per cell.

The structure belongs to space group P-1 (No. 2); the cell edges are 6.925, 6.934 and 8.169 Å and the angles 90.02°, 114.88° and 119.93°. Symmetry generates all atoms from La at (0.021, 0.062, 0.255), La at (0.295, 0.734, 0.255), La at (0.306, 0.541, 0.746), Pm at (0.500, 0.000, 0.000) and Zn at (0.500, 0.500, 0.500).

***

b:
A plane-wave DFT calculation with PBE was carried out for an optimized crystal structure of La6PmZn.

For the theoretical density, the calculation gives 6.4 g cm⁻³. The calculation puts the size of the total moment at 0.00 Bohr magnetons per cell.

The structure belongs to space group Amm2 (No. 38); the cell edges are 5.462, 8.853 and 11.119 Å and the angles 90.00°, 90.00° and 90.00°. Symmetry generates all atoms from La at (0.000, 0.000, 0.000), La at (0.000, 0.199, 0.283), La at (0.500, 0.000, 0.785), La at (0.500, 0.223, 0.513), Pm at (0.000, 0.000, 0.580) and Zn at (0.500, 0.000, 0.230).

***

Stability, lowest: a

***

a:
A plane-wave DFT calculation with PBE was carried out for an optimized crystal structure of LaPm3Zn.

For the theoretical density, the calculation gives 6.8 g cm⁻³. The calculation puts the size of the total moment at 0.00 Bohr magnetons per cell.

The structure belongs to space group P-1 (No. 2); the cell edges are 3.758, 6.713 and 12.947 Å and the angles 89.54°, 90.00° and 73.77°. Symmetry generates all atoms from La at (0.219, 0.063, 0.234), Pm at (0.045, 0.409, 0.692), Pm at (0.132, 0.235, 0.962), Pm at (0.366, 0.769, 0.534) and Zn at (0.460, 0.580, 0.865).

***

b:
A plane-wave DFT calculation with PBE was carried out for an optimized crystal structure of LaPm3Zn.

For the theoretical density, the calculation gives 6.3 g cm⁻³. The calculation puts the size of the total moment at 0.00 Bohr magnetons per cell.

The structure belongs to space group C2/m (No. 12); the cell edges are 12.124, 8.737 and 8.021 Å and the angles 90.00°, 127.50° and 90.00°. Symmetry generates all atoms from La at (0.046, 0.000, 0.304), Pm at (0.079, 0.500, 0.268), Pm at (0.195, 0.303, 0.726) and Zn at (0.229, 0.500, 0.076).

***

Stability, lowest: b